Entry 1:
A relaxed structure of InReSb, computed with GGA-PBE.

a = 6.4695 Å, b = 6.4695 Å, c = 6.4695 Å
α = 90.00°, β = 90.00°, γ = 90.00°
Space group F-43m (No. 216)
One atom of each set of equivalent atoms:
In1 0.0000 0.0000 0.0000 x4
Re1 0.2500 0.2500 0.7500 x4
Sb1 0.0000 0.0000 0.5000 x4

Computed properties:
relative energy among the computed polymorphs	170	meV per atom
formation energy without anion corrections	13.83	kcal/mol of atoms
DOS(E_F)	2.8	states/eV/f.u.
magnetization	0.00	μB/f.u.



Entry 2:
A relaxed structure of CrInPb2, computed with GGA-PBE.

a = 4.6055 Å, b = 4.6055 Å, c = 21.0878 Å
α = 90.00°, β = 90.00°, γ = 90.00°
Space group I-42d (No. 122)
One atom of each set of equivalent atoms:
Cr1 0.0000 0.0000 0.0000 x4
In1 0.0000 0.0000 0.5000 x4
Pb1 0.2405 0.2500 0.1250 x8

Computed properties:
DOS(E_F)	2.2	states/eV/f.u.
energy of formation from the pure elements	0.48	eV per atom
magnetization	4.16	μB/f.u.



Q: Which formula does entry 1 have?
A: InReSb